Computed, not measured: a relaxed structure of SrLaMg2Rh at the GGA-PBE level of DFT.

Unit cell a=5.360 b=5.360 c=5.270 alpha=90.00 beta=90.00 gamma=90.00
Fractional positions:
Rh  0.000  0.000  0.000
Sr  0.500  0.500  0.500
Mg  0.000  0.500  0.000
Mg  0.500  0.000  0.000
La  0.000  0.000  0.500

Calculated values
E_form: -31 kJ per mole of atoms
space-group type: P4/mmm
calculated volume: 151.4 Å³/f.u.
total DFT energy (no corrections): -3.75 eV per atom


Computed, not measured: a relaxed structure of LaMg2TcRh at the GGA-PBE level of DFT.

Unit cell a=4.997 b=4.760 c=4.997 alpha=90.00 beta=90.00 gamma=90.00
Fractional positions:
Mg  0.000  0.000  0.500
Mg  0.500  0.000  0.000
Rh  0.000  0.500  0.000
Tc  0.000  0.000  0.000
La  0.500  0.500  0.500

Calculated values
E_form: 25 kJ per mole of atoms
space-group type: P4/mmm
calculated volume: 118.8 Å³/f.u.
total DFT energy (no corrections): -4.90 eV per atom